# KV4P7O24 | Alexandria | GGA+U | optimized geometry
# Spin magnetization: 8.00 μB per formula unit
# Final energy: -535.4 eV for the cell shown
data_KV4P7O24
_cell_length_a 10.276
_cell_length_b 10.413
_cell_length_c 10.849
_cell_angle_alpha 109.07
_cell_angle_beta 111.59
_cell_angle_gamma 104.63
_symmetry_space_group_name_H-M 'P -1'
_symmetry_Int_Tables_number 2
_symmetry_space_group_name_Hall '-P 1'
loop_
_atom_site_label
_atom_site_type_symbol
_atom_site_fract_x
_atom_site_fract_y
_atom_site_fract_z
K1 K 0.041 0.249 0.174
V1 V 0.000 0.105 0.755
V2 V 0.012 0.662 0.387
V3 V 0.486 0.830 0.911
V4 V 0.500 0.386 0.576
P1 P 0.232 0.177 0.617
P2 P 0.239 0.967 0.742
P3 P 0.251 0.541 0.553
P4 P 0.251 0.610 0.978
P5 P 0.272 0.781 0.273
P6 P 0.303 0.058 0.239
P7 P 0.307 0.377 0.065
O1 O 0.107 0.510 0.830
O2 O 0.120 0.218 0.673
O3 O 0.125 0.993 0.796
O4 O 0.126 0.985 0.162
O5 O 0.132 0.278 0.961
O6 O 0.134 0.779 0.300
O7 O 0.138 0.411 0.551
O8 O 0.144 0.060 0.454
O9 O 0.155 0.567 0.422
O10 O 0.163 0.826 0.597
O11 O 0.191 0.664 0.097
O12 O 0.312 0.106 0.717
O13 O 0.338 0.440 0.227
O14 O 0.340 0.680 0.706
O15 O 0.346 0.521 0.031
O16 O 0.355 0.751 0.993
O17 O 0.356 0.065 0.128
O18 O 0.360 0.942 0.295
O19 O 0.365 0.315 0.658
O20 O 0.372 0.498 0.511
O21 O 0.375 0.207 0.376
O22 O 0.381 0.978 0.872
O23 O 0.384 0.742 0.368
O24 O 0.409 0.305 0.037